No. 1
This record from OQMD describes an optimized crystal structure of Nb2SiHg. The functional is PBE-GGA. Values from VASP.

Structure (Quantum ESPRESSO input):
```
&SYSTEM
  ibrav = 0, nat = 4, ntyp = 3
/
ATOMIC_SPECIES
Nb 92.91 Nb.upf
Si 28.09 Si.upf
Hg 200.59 Hg.upf
ATOMIC_POSITIONS crystal
Nb 0.0000 0.0000 0.0000
Nb 0.2500 0.2500 0.2500
Si 0.5000 0.5000 0.5000
Hg 0.7500 0.7500 0.7500
CELL_PARAMETERS angstrom
0.0000 3.3004 3.3004
3.3004 0.0000 3.3004
3.3004 3.3004 0.0000
```

The calculation puts the total energy at -6.0001 eV/atom. Its space-group type is F-43m (216). As for the magnetization: 0.00 μB per cell.

No. 2
This record from OQMD describes an optimized crystal structure of SmNbHg. The functional is PBE-GGA. Values from VASP.

Structure (Quantum ESPRESSO input):
```
&SYSTEM
  ibrav = 0, nat = 3, ntyp = 3
/
ATOMIC_SPECIES
Sm 150.36 Sm.upf
Nb 92.91 Nb.upf
Hg 200.59 Hg.upf
ATOMIC_POSITIONS crystal
Sm 0.0000 0.0000 0.0000
Nb 0.5000 0.5000 0.5000
Hg 0.7500 0.7500 0.7500
CELL_PARAMETERS angstrom
0.0000 3.4649 3.4649
3.4649 0.0000 3.4649
3.4649 3.4649 0.0000
```

For the energy of formation from the pure elements, the calculation gives 1.787 eV/f.u. The calculation puts the total energy at -4.4384 eV/atom. Its space-group type is F-43m (216). As for the magnetization: 1.84 μB per cell.